Below is a relaxed Cd4FeF10 crystal, with properties calculated at the PBE+U level.

Summary:
Crystal system: trigonal
Total magnetization: 0.28 μB/atom
VASP energy: -4.028 eV/atom

Cell lengths 3.838, 3.838, 15.810 Å; angles 83.03, 83.03, 60.00 degrees
Each line ends with the local moment (μB).
Atoms (fractional coordinates):
F  0.653  0.653  0.040  0.04
F  0.552  0.552  0.343  0.00
F  0.347  0.347  0.960  0.04
F  0.955  0.955  0.134  0.02
F  0.149  0.149  0.552  0.00
F  0.747  0.747  0.760  0.00
F  0.851  0.851  0.448  0.00
F  0.045  0.045  0.866  0.02
F  0.448  0.448  0.657  0.00
F  0.253  0.253  0.240  0.00
Cd  0.799  0.799  0.603  0.00
Cd  0.603  0.603  0.191  0.00
Cd  0.201  0.201  0.397  0.00
Cd  0.397  0.397  0.809  0.00
Fe  0.000  0.000  0.000  3.95